#a
This record from Alexandria describes a relaxed structure of ScSnP2S. The functional is GGA-PBE.

Results
magnetic moment	0.0	μB per cell
space-group type	P4/mmm (123)
Fermi-level density of states	4.88	states/eV/cell

abc: 4.967 4.967 4.908
angles: 90.00 90.00 90.00
Atoms (fractional coordinates):
Sc 0.000 0.000 0.000
Sn 0.500 0.500 0.500
P 0.000 0.500 0.000
P 0.500 0.000 0.000
S 0.000 0.000 0.500

#b
This record from Alexandria describes a relaxed structure of ScSnP2S. The functional is GGA-PBE.

Results
magnetic moment	0.0	μB per cell
space-group type	P4/mmm (123)
Fermi-level density of states	4.96	states/eV/cell

abc: 4.945 4.945 4.968
angles: 90.00 90.00 90.00
Atoms (fractional coordinates):
Sc 0.000 0.000 0.000
Sn 0.500 0.500 0.500
P 0.000 0.500 0.500
P 0.500 0.000 0.500
S 0.500 0.500 0.000

Relative energy of each structure, in meV/atom: #a 0; #b 406.

#a
This record from Alexandria describes a relaxed structure of ScTcP2S. The functional is GGA-PBE.

Results
magnetic moment	3.2	μB per cell
space-group type	P4/mmm (123)
Fermi-level density of states	3.88	states/eV/cell

abc: 4.922 4.922 4.772
angles: 90.00 90.00 90.00
Atoms (fractional coordinates):
Sc 0.000 0.000 0.000
Tc 0.500 0.500 0.500
P 0.000 0.500 0.000
P 0.500 0.000 0.000
S 0.000 0.000 0.500

#b
This record from Alexandria describes a relaxed structure of ScTcP2S. The functional is GGA-PBE.

Results
magnetic moment	0.0	μB per cell
space-group type	P4/mmm (123)
Fermi-level density of states	3.75	states/eV/cell

abc: 4.453 4.453 5.125
angles: 90.00 90.00 90.00
Atoms (fractional coordinates):
Sc 0.000 0.000 0.000
Tc 0.500 0.500 0.500
P 0.000 0.500 0.500
P 0.500 0.000 0.500
S 0.500 0.500 0.000

Relative energy of each structure, in meV/atom: #a 755; #b 0.

#a
This record from Alexandria describes a relaxed structure of ScTePS2. The functional is GGA-PBE.

Results
magnetic moment	0.0	μB per cell
space-group type	P4/mmm (123)
Fermi-level density of states	6.10	states/eV/cell

abc: 4.818 4.818 5.213
angles: 90.00 90.00 90.00
Atoms (fractional coordinates):
Sc 0.000 0.000 0.000
Te 0.500 0.500 0.500
P 0.000 0.000 0.500
S 0.000 0.500 0.000
S 0.500 0.000 0.000

#b
This record from Alexandria describes a relaxed structure of ScTePS2. The functional is GGA-PBE.

Results
magnetic moment	0.0	μB per cell
space-group type	P4/mmm (123)
Fermi-level density of states	2.98	states/eV/cell

abc: 4.977 4.977 5.007
angles: 90.00 90.00 90.00
Atoms (fractional coordinates):
Sc 0.000 0.000 0.000
Te 0.500 0.500 0.500
P 0.500 0.500 0.000
S 0.000 0.500 0.500
S 0.500 0.000 0.500

Relative energy of each structure, in meV/atom: #a 0; #b 344.

#a
This record from Alexandria describes a relaxed structure of ScVPS2. The functional is GGA-PBE.

Results
magnetic moment	0.0	μB per cell
space-group type	P4/mmm (123)
Fermi-level density of states	3.04	states/eV/cell

abc: 4.479 4.479 4.699
angles: 90.00 90.00 90.00
Atoms (fractional coordinates):
Sc 0.000 0.000 0.000
V 0.500 0.500 0.500
P 0.500 0.500 0.000
S 0.000 0.500 0.500
S 0.500 0.000 0.500

#b
This record from Alexandria describes a relaxed structure of ScVPS2. The functional is GGA-PBE.

Results
magnetic moment	2.5	μB per cell
space-group type	P4/mmm (123)
Fermi-level density of states	4.89	states/eV/cell

abc: 4.831 4.831 4.908
angles: 90.00 90.00 90.00
Atoms (fractional coordinates):
Sc 0.000 0.000 0.000
V 0.500 0.500 0.500
P 0.000 0.000 0.500
S 0.000 0.500 0.000
S 0.500 0.000 0.000

Relative energy of each structure, in meV/atom: #a 0; #b 558.

#a
This record from Alexandria describes a relaxed structure of YScPS2. The functional is GGA-PBE.

Results
magnetic moment	0.0	μB per cell
space-group type	P4/mmm (123)
Fermi-level density of states	3.66	states/eV/cell

abc: 4.820 4.820 4.941
angles: 90.00 90.00 90.00
Atoms (fractional coordinates):
Y 0.000 0.000 0.000
Sc 0.500 0.500 0.500
P 0.500 0.500 0.000
S 0.000 0.500 0.500
S 0.500 0.000 0.500

#b
This record from Alexandria describes a relaxed structure of YScPS2. The functional is GGA-PBE.

Results
magnetic moment	0.0	μB per cell
space-group type	P4/mmm (123)
Fermi-level density of states	4.73	states/eV/cell

abc: 5.089 5.089 5.212
angles: 90.00 90.00 90.00
Atoms (fractional coordinates):
Y 0.000 0.000 0.000
Sc 0.500 0.500 0.500
P 0.000 0.000 0.500
S 0.000 0.500 0.000
S 0.500 0.000 0.000

Relative energy of each structure, in meV/atom: #a 0; #b 552.

#a
This record from Alexandria describes a relaxed structure of ScZnP2S. The functional is GGA-PBE.

Results
magnetic moment	0.2	μB per cell
space-group type	P4/mmm (123)
Fermi-level density of states	6.09	states/eV/cell

abc: 4.986 4.986 4.824
angles: 90.00 90.00 90.00
Atoms (fractional coordinates):
Sc 0.000 0.000 0.000
Zn 0.500 0.500 0.500
P 0.000 0.500 0.000
P 0.500 0.000 0.000
S 0.000 0.000 0.500

#b
This record from Alexandria describes a relaxed structure of ScZnP2S. The functional is GGA-PBE.

Results
magnetic moment	0.0	μB per cell
space-group type	P4/mmm (123)
Fermi-level density of states	2.94	states/eV/cell

abc: 4.563 4.563 4.728
angles: 90.00 90.00 90.00
Atoms (fractional coordinates):
Sc 0.000 0.000 0.000
Zn 0.500 0.500 0.500
P 0.000 0.500 0.500
P 0.500 0.000 0.500
S 0.500 0.500 0.000

Relative energy of each structure, in meV/atom: #a 72; #b 0.

#a
This record from Alexandria describes a relaxed structure of ZrScPS2. The functional is GGA-PBE.

Results
magnetic moment	0.0	μB per cell
space-group type	P4/mmm (123)
Fermi-level density of states	1.33	states/eV/cell

abc: 4.859 4.859 5.104
angles: 90.00 90.00 90.00
Atoms (fractional coordinates):
Zr 0.000 0.000 0.000
Sc 0.500 0.500 0.500
P 0.000 0.000 0.500
S 0.000 0.500 0.000
S 0.500 0.000 0.000

#b
This record from Alexandria describes a relaxed structure of ZrScPS2. The functional is GGA-PBE.

Results
magnetic moment	0.0	μB per cell
space-group type	P4/mmm (123)
Fermi-level density of states	1.88	states/eV/cell

abc: 4.711 4.711 4.964
angles: 90.00 90.00 90.00
Atoms (fractional coordinates):
Zr 0.000 0.000 0.000
Sc 0.500 0.500 0.500
P 0.500 0.500 0.000
S 0.000 0.500 0.500
S 0.500 0.000 0.500

Relative energy of each structure, in meV/atom: #a 0; #b 228.

#a
This record from Alexandria describes a relaxed structure of PSeS. The functional is GGA-PBE.

Results
magnetic moment	0.0	μB per cell
space-group type	P1 (1)
Fermi-level density of states	0.99	states/eV/cell

abc: 3.387 3.388 6.863
angles: 103.90 90.15 119.98
Atoms (fractional coordinates):
P 0.000 0.000 0.000
Se 0.742 0.483 0.229
S 0.265 0.532 0.794

#b
This record from Alexandria describes a relaxed structure of PSeS. The functional is GGA-PBE.

Results
magnetic moment	0.0	μB per cell
space-group type	Cm (8)

abc: 8.610 7.444 6.466
angles: 90.00 121.99 90.00
Atoms (fractional coordinates):
P 0.000 0.000 0.000
P 0.050 0.000 0.381
P 0.500 0.500 0.000
P 0.550 0.500 0.381
Se 0.408 0.247 0.381
Se 0.408 0.753 0.381
Se 0.908 0.253 0.381
Se 0.908 0.747 0.381
S 0.136 0.234 0.006
S 0.136 0.766 0.006
S 0.636 0.266 0.006
S 0.636 0.734 0.006

#c
This record from Alexandria describes a relaxed structure of PSeS. The functional is GGA-PBE.

Results
magnetic moment	0.0	μB per cell
space-group type	P-1 (2)
Fermi-level density of states	0.44	states/eV/cell

abc: 3.541 6.775 7.094
angles: 99.15 92.40 103.53
Atoms (fractional coordinates):
P 0.139 0.386 0.393
P 0.861 0.614 0.607
Se 0.084 0.150 0.613
Se 0.916 0.850 0.387
S 0.314 0.710 0.808
S 0.686 0.290 0.192

Relative energy of each structure, in meV/atom: #a 14; #b 5; #c 0.

#a
This record from Alexandria describes a relaxed structure of PSeS. The functional is GGA-PBE.

Results
magnetic moment	0.0	μB per cell
space-group type	P1 (1)

abc: 5.223 5.232 7.079
angles: 99.23 96.61 102.66
Atoms (fractional coordinates):
P 0.000 0.000 0.000
P 0.010 0.575 0.014
Se 0.360 0.528 0.847
Se 0.989 0.148 0.320
S 0.128 0.603 0.312
S 0.620 0.922 0.826

#b
This record from Alexandria describes a relaxed structure of PSeS. The functional is GGA-PBE.

Results
magnetic moment	0.0	μB per cell
space-group type	Pm (6)
Fermi-level density of states	0.98	states/eV/cell

abc: 4.905 3.031 6.291
angles: 90.00 107.05 90.00
Atoms (fractional coordinates):
P 0.000 0.000 0.000
Se 0.612 0.000 0.143
S 0.913 0.500 0.753

Relative energy of each structure, in meV/atom: #a 0; #b 14.

#a
This record from Alexandria describes a relaxed structure of P2SeS2. The functional is GGA-PBE.

Results
magnetic moment	0.0	μB per cell
space-group type	P4/mmm (123)
Fermi-level density of states	4.38	states/eV/cell

abc: 4.642 4.642 4.405
angles: 90.00 90.00 90.00
Atoms (fractional coordinates):
P 0.000 0.500 0.000
P 0.500 0.000 0.000
Se 0.000 0.000 0.500
S 0.500 0.500 0.000
S 0.500 0.500 0.500

#b
This record from Alexandria describes a relaxed structure of P2SeS2. The functional is GGA-PBE.

Results
magnetic moment	0.0	μB per cell
space-group type	P4/mmm (123)
Fermi-level density of states	3.76	states/eV/cell

abc: 4.674 4.674 4.860
angles: 90.00 90.00 90.00
Atoms (fractional coordinates):
P 0.000 0.000 0.000
P 0.500 0.500 0.000
Se 0.000 0.000 0.500
S 0.000 0.500 0.500
S 0.500 0.000 0.500

#c
This record from Alexandria describes a relaxed structure of P2SeS2. The functional is GGA-PBE.

Results
magnetic moment	0.4	μB per cell
space-group type	P4/mmm (123)
Fermi-level density of states	5.48	states/eV/cell

abc: 4.866 4.866 4.618
angles: 90.00 90.00 90.00
Atoms (fractional coordinates):
P 0.000 0.500 0.000
P 0.500 0.000 0.000
Se 0.000 0.000 0.000
S 0.000 0.000 0.500
S 0.500 0.500 0.500

Relative energy of each structure, in meV/atom: #a 0; #b 231; #c 326.

#a
This record from Alexandria describes a relaxed structure of P2SeS2. The functional is GGA-PBE.

Results
magnetic moment	0.0	μB per cell
space-group type	I4_1md (109)
Fermi-level density of states	0.00	states/eV/cell

abc: 9.692 9.692 9.692
angles: 142.76 142.76 53.69
Atoms (fractional coordinates):
P 0.242 0.000 0.242
P 0.750 0.008 0.258
P 0.750 0.492 0.742
P 0.758 0.000 0.758
Se 0.400 0.900 0.500
Se 0.650 0.650 0.000
S 0.486 0.227 0.259
S 0.969 0.227 0.741
S 0.977 0.219 0.241
S 0.977 0.736 0.759

#b
This record from Alexandria describes a relaxed structure of P2SeS2. The functional is GGA-PBE.

Results
magnetic moment	0.0	μB per cell
space-group type	P4/mmm (123)
Fermi-level density of states	2.93	states/eV/cell

abc: 4.300 4.300 5.044
angles: 90.00 90.00 90.00
Atoms (fractional coordinates):
P 0.000 0.000 0.000
P 0.000 0.000 0.500
Se 0.500 0.500 0.000
S 0.000 0.500 0.500
S 0.500 0.000 0.500

Relative energy of each structure, in meV/atom: #a 0; #b 764.

#a
This record from Alexandria describes a relaxed structure of PSeS3. The functional is GGA-PBE.

Results
magnetic moment	0.0	μB per cell
space-group type	Pm-3m (221)
Fermi-level density of states	4.44	states/eV/cell

abc: 4.725 4.725 4.725
angles: 90.00 90.00 90.00
Atoms (fractional coordinates):
P 0.000 0.000 0.000
Se 0.500 0.500 0.500
S 0.000 0.500 0.500
S 0.500 0.000 0.500
S 0.500 0.500 0.000

#b
This record from Alexandria describes a relaxed structure of PSeS3. The functional is GGA-PBE.

Results
magnetic moment	0.0	μB per cell
space-group type	Pm-3m (221)
Fermi-level density of states	4.31	states/eV/cell

abc: 4.514 4.514 4.514
angles: 90.00 90.00 90.00
Atoms (fractional coordinates):
P 0.000 0.000 0.000
Se 0.500 0.500 0.500
S 0.000 0.000 0.500
S 0.000 0.500 0.000
S 0.500 0.000 0.000

Relative energy of each structure, in meV/atom: #a 419; #b 0.

#a
This record from Alexandria describes a relaxed structure of P3SeS. The functional is GGA-PBE.

Results
magnetic moment	0.0	μB per cell
space-group type	Pm-3m (221)
Fermi-level density of states	5.66	states/eV/cell

abc: 4.770 4.770 4.770
angles: 90.00 90.00 90.00
Atoms (fractional coordinates):
P 0.000 0.000 0.500
P 0.000 0.500 0.000
P 0.500 0.000 0.000
Se 0.000 0.000 0.000
S 0.500 0.500 0.500

#b
This record from Alexandria describes a relaxed structure of P3SeS. The functional is GGA-PBE.

Results
magnetic moment	0.0	μB per cell
space-group type	Pm-3m (221)
Fermi-level density of states	4.55	states/eV/cell

abc: 4.554 4.554 4.554
angles: 90.00 90.00 90.00
Atoms (fractional coordinates):
P 0.000 0.000 0.500
P 0.000 0.500 0.000
P 0.500 0.000 0.000
Se 0.500 0.500 0.500
S 0.000 0.000 0.000

Relative energy of each structure, in meV/atom: #a 374; #b 0.